## CeEr2Zn (PBE-GGA)

Data for a relaxed structure of CeEr2Zn.

Output
total magnetic moment = 0.702 μB per formula unit
offset from the most stable computed form = 0.083 eV/atom
crystal system = trigonal

Unit cell a=3.4883 b=3.4883 c=10.4301 alpha=80.37 beta=80.37 gamma=60.00
Closest atoms and distances in Å follow each position.
Atoms (fractional coordinates):
Ce 0.5000 0.5000 0.5000  6 Ce 3.49, 6 Er 3.50
Er 0.7402 0.7402 0.7794  3 Zn 3.03
Er 0.2598 0.2598 0.2206  3 Zn 3.03
Zn 0.0000 0.0000 0.0000  6 Er 3.03

## CeEr2Zn (PBE-GGA)

Data for a relaxed structure of CeEr2Zn.

Output
total magnetic moment = 1.361 μB per formula unit
offset from the most stable computed form = 0.130 eV/atom
crystal system = tetragonal

Unit cell a=4.6319 b=4.7368 c=4.7368 alpha=90.00 beta=90.00 gamma=90.00
Closest atoms and distances in Å follow each position.
Atoms (fractional coordinates):
Er 0.0000 0.5000 0.0000  4 Zn 3.31, 4 Ce 3.31, 4 Er 3.35
Ce 0.5000 0.0000 0.0000  8 Er 3.31, 4 Zn 3.35
Zn 0.5000 0.5000 0.5000  8 Er 3.31, 4 Ce 3.35
Er 0.0000 0.0000 0.5000  4 Ce 3.31, 4 Zn 3.31, 4 Er 3.35

## Ce2ErZn3 (PBE-GGA)

Data for a relaxed structure of Ce2ErZn3.

Output
total magnetic moment = 1.273 μB per formula unit
crystal system = tetragonal

Unit cell a=3.5298 b=3.5298 c=11.1126 alpha=90.00 beta=90.00 gamma=90.00
Closest atoms and distances in Å follow each position.
Atoms (fractional coordinates):
Zn 0.0000 0.0000 0.3456  4 Er 3.03, 4 Ce 3.17
Zn 0.0000 0.0000 0.0000  8 Ce 3.13
Ce 0.5000 0.5000 0.1703  8 Zn 3.13-3.17
Ce 0.5000 0.5000 0.8297  8 Zn 3.13-3.17
Zn 0.0000 0.0000 0.6544  4 Er 3.03, 4 Ce 3.17
Er 0.5000 0.5000 0.5000  8 Zn 3.03

## Ce2ErZn8 (PBE-GGA)

Data for a relaxed structure of Ce2ErZn8.

Output
total magnetic moment = 0.659 μB per formula unit
crystal system = orthorhombic

Unit cell a=4.8225 b=6.1424 c=8.2692 alpha=111.81 beta=106.96 gamma=89.98
Closest atoms and distances in Å follow each position.
Atoms (fractional coordinates):
Zn 0.8840 0.6669 0.7685  4 Zn 2.67-2.99
Zn 0.6954 0.1954 0.3908  1 Er 2.85, 4 Ce 2.91-3.07, 4 Zn 2.99
Zn 0.2485 0.5001 0.0000  2 Zn 2.40-2.43
Ce 0.6932 0.6932 0.3864  12 Zn 2.91-3.18
Zn 0.1160 0.3331 0.2315  4 Zn 2.67-2.99
Zn 0.1154 0.8984 0.2315  4 Zn 2.67-2.99
Zn 0.3046 0.8046 0.6092  1 Er 2.85, 4 Ce 2.91-3.07, 4 Zn 2.99
Er 0.5000 0.0000 0.0000  2 Zn 2.85
Ce 0.3068 0.3068 0.6136  12 Zn 2.91-3.18
Zn 0.7515 0.4999 0.0000  2 Zn 2.40-2.43
Zn 0.8846 0.1016 0.7685  4 Zn 2.67-2.99

Calculated raw total energy, -4.12 -4.08 -3.61 -2.66 eV/atom (same order as the records).